# 1
# BaMgIr

A relaxed BaMgIr crystal (PBEsol, Alexandria via LeMat-Bulk).

Unit cell a=6.912 b=6.912 c=6.912 alpha=90.00 beta=90.00 gamma=90.00
Positions (direct):
Ba 0.000 0.000 0.000
Ba 0.000 0.500 0.500
Ba 0.500 0.000 0.500
Ba 0.500 0.500 0.000
Mg 0.000 0.000 0.500
Mg 0.000 0.500 0.000
Mg 0.500 0.000 0.000
Mg 0.500 0.500 0.500
Ir 0.250 0.250 0.250
Ir 0.250 0.750 0.750
Ir 0.750 0.250 0.750
Ir 0.750 0.750 0.250

Computed properties:
Formation energy from the elements: 0.188 eV/atom
Space group: F-43m, No. 216
Total magnetic moment: 0.00 μB/atom

# 2
# Si2HgAu

A relaxed Si2HgAu crystal (PBEsol, Alexandria via LeMat-Bulk).

Unit cell a=6.585 b=6.585 c=6.585 alpha=90.00 beta=90.00 gamma=90.00
Positions (direct):
Si 0.000 0.000 0.000
Si 0.000 0.500 0.500
Si 0.250 0.250 0.250
Si 0.250 0.750 0.750
Si 0.500 0.000 0.500
Si 0.500 0.500 0.000
Si 0.750 0.250 0.750
Si 0.750 0.750 0.250
Hg 0.000 0.000 0.500
Hg 0.000 0.500 0.000
Hg 0.500 0.000 0.000
Hg 0.500 0.500 0.500
Au 0.250 0.250 0.750
Au 0.250 0.750 0.250
Au 0.750 0.250 0.250
Au 0.750 0.750 0.750

Computed properties:
Space group: F-43m, No. 216
Total magnetic moment: 0.00 μB/atom
E_form (uncorrected): 453.5 meV per atom

# 3
# La2BeBr

A relaxed La2BeBr crystal (PBEsol, Alexandria via LeMat-Bulk).

Unit cell a=4.851 b=5.351 c=7.588 alpha=90.00 beta=90.00 gamma=90.00
Positions (direct):
La 0.000 0.000 0.247
La 0.000 0.000 0.753
La 0.500 0.500 0.253
La 0.500 0.500 0.747
Be 0.000 0.500 0.000
Be 0.500 0.000 0.500
Br 0.000 0.500 0.500
Br 0.500 0.000 0.000

Computed properties:
Space group: Immm, No. 71
Total magnetic moment: 0.00 μB/atom
E_form (uncorrected): -334.3 meV per atom

# 4
# Sn2AsCl

A relaxed Sn2AsCl crystal (PBEsol, Alexandria via LeMat-Bulk).

Unit cell a=7.120 b=7.120 c=7.120 alpha=90.00 beta=90.00 gamma=90.00
Positions (direct):
Sn 0.250 0.250 0.250
Sn 0.250 0.250 0.750
Sn 0.250 0.750 0.250
Sn 0.250 0.750 0.750
Sn 0.750 0.250 0.250
Sn 0.750 0.250 0.750
Sn 0.750 0.750 0.250
Sn 0.750 0.750 0.750
As 0.000 0.000 0.000
As 0.000 0.500 0.500
As 0.500 0.000 0.500
As 0.500 0.500 0.000
Cl 0.000 0.000 0.500
Cl 0.000 0.500 0.000
Cl 0.500 0.000 0.000
Cl 0.500 0.500 0.500

Computed properties:
Space group: Fm-3m, No. 225
Total magnetic moment: 0.00 μB/atom
E_form (uncorrected): -229.8 meV per atom

# 5
# Co3Ir

A relaxed Co3Ir crystal (PBEsol, Alexandria via LeMat-Bulk).

Unit cell a=2.577 b=2.577 c=6.846 alpha=90.00 beta=90.00 gamma=90.00
Positions (direct):
Co 0.000 0.000 0.000
Co 0.500 0.500 0.235
Co 0.500 0.500 0.765
Ir 0.000 0.000 0.500

Computed properties:
Formation energy from the elements: 0.072 eV/atom
Space group: P4/mmm, No. 123
Total magnetic moment: 1.10 μB/atom

# 6
# Rb2S

A relaxed Rb2S crystal (PBEsol, Alexandria via LeMat-Bulk).

Unit cell a=8.210 b=5.035 c=9.867 alpha=90.00 beta=90.00 gamma=90.00
Positions (direct):
Rb 0.023 0.250 0.170
Rb 0.146 0.250 0.575
Rb 0.354 0.750 0.075
Rb 0.477 0.750 0.670
Rb 0.523 0.250 0.330
Rb 0.646 0.250 0.925
Rb 0.854 0.750 0.425
Rb 0.977 0.750 0.830
S 0.248 0.250 0.889
S 0.252 0.750 0.389
S 0.748 0.250 0.611
S 0.752 0.750 0.111

Computed properties:
Space group: Pnma, No. 62
Total magnetic moment: 0.00 μB/atom
E_form (uncorrected): -1002.7 meV per atom

# 7
# CeHf2F11

A relaxed CeHf2F11 crystal (PBEsol, Alexandria via LeMat-Bulk).

Unit cell a=8.348 b=8.348 c=8.348 alpha=125.11 beta=106.56 gamma=98.04
Positions (direct):
Ce 0.250 0.250 0.000
Ce 0.750 0.750 0.000
Hf 0.181 0.632 0.813
Hf 0.319 0.132 0.452
Hf 0.681 0.868 0.548
Hf 0.819 0.368 0.187
F 0.000 0.500 0.500
F 0.050 0.966 0.289
F 0.052 0.366 0.161
F 0.178 0.466 0.916
F 0.205 0.891 0.839
F 0.220 0.369 0.589
F 0.280 0.869 0.150
F 0.295 0.134 0.686
F 0.322 0.239 0.289
F 0.448 0.609 0.314
F 0.450 0.739 0.916
F 0.500 0.000 0.500
F 0.550 0.261 0.084
F 0.552 0.391 0.686
F 0.678 0.761 0.711
F 0.705 0.866 0.314
F 0.720 0.131 0.850
F 0.780 0.631 0.411
F 0.795 0.109 0.161
F 0.822 0.534 0.084
F 0.948 0.634 0.839
F 0.950 0.034 0.711

Computed properties:
Space group: Ibam, No. 72
Total magnetic moment: 0.07 μB/atom
E_form (uncorrected): -3882.4 meV per atom

# 8
# BiSbS3

A relaxed BiSbS3 crystal (PBEsol, Alexandria via LeMat-Bulk).

Unit cell a=11.105 b=3.904 c=10.980 alpha=90.00 beta=90.00 gamma=90.00
Positions (direct):
Bi 0.004 0.250 0.171
Bi 0.496 0.750 0.671
Bi 0.504 0.250 0.329
Bi 0.996 0.750 0.829
Sb 0.157 0.750 0.463
Sb 0.343 0.250 0.963
Sb 0.657 0.750 0.037
Sb 0.843 0.250 0.537
S 0.051 0.250 0.625
S 0.126 0.750 0.059
S 0.211 0.250 0.310
S 0.289 0.750 0.810
S 0.374 0.250 0.559
S 0.449 0.750 0.125
S 0.551 0.250 0.875
S 0.626 0.750 0.441
S 0.711 0.250 0.190
S 0.789 0.750 0.690
S 0.874 0.250 0.941
S 0.949 0.750 0.375

Computed properties:
Space group: Pnma, No. 62
Total magnetic moment: 0.00 μB/atom
E_form (uncorrected): -339.8 meV per atom

# 9
# NaTl2Sb

A relaxed NaTl2Sb crystal (PBEsol, Alexandria via LeMat-Bulk).

Unit cell a=8.912 b=8.912 c=6.157 alpha=90.00 beta=90.00 gamma=90.00
Positions (direct):
Na 0.000 0.000 0.000
Na 0.000 0.500 0.250
Na 0.500 0.000 0.750
Na 0.500 0.500 0.500
Tl 0.212 0.750 0.625
Tl 0.250 0.212 0.375
Tl 0.250 0.288 0.875
Tl 0.288 0.750 0.125
Tl 0.712 0.250 0.125
Tl 0.750 0.712 0.875
Tl 0.750 0.788 0.375
Tl 0.788 0.250 0.625
Sb 0.000 0.000 0.500
Sb 0.000 0.500 0.750
Sb 0.500 0.000 0.250
Sb 0.500 0.500 0.000

Computed properties:
Space group: I-42d, No. 122
Total magnetic moment: 0.00 μB/atom
E_form (uncorrected): -47.7 meV per atom

# 10
# Cu2GeS

A relaxed Cu2GeS crystal (PBEsol, Alexandria via LeMat-Bulk).

Unit cell a=6.105 b=6.105 c=6.105 alpha=90.00 beta=90.00 gamma=90.00
Positions (direct):
Cu 0.250 0.250 0.250
Cu 0.250 0.250 0.750
Cu 0.250 0.750 0.250
Cu 0.250 0.750 0.750
Cu 0.750 0.250 0.250
Cu 0.750 0.250 0.750
Cu 0.750 0.750 0.250
Cu 0.750 0.750 0.750
Ge 0.000 0.000 0.000
Ge 0.000 0.500 0.500
Ge 0.500 0.000 0.500
Ge 0.500 0.500 0.000
S 0.000 0.000 0.500
S 0.000 0.500 0.000
S 0.500 0.000 0.000
S 0.500 0.500 0.500

Computed properties:
Space group: Fm-3m, No. 225
Total magnetic moment: 0.00 μB/atom
E_form (uncorrected): 307.8 meV per atom

# 11
# KSb3N

A relaxed KSb3N crystal (PBEsol, Alexandria via LeMat-Bulk).

Unit cell a=4.871 b=4.871 c=4.871 alpha=90.00 beta=90.00 gamma=90.00
Positions (direct):
K 0.000 0.000 0.000
Sb 0.000 0.500 0.500
Sb 0.500 0.000 0.500
Sb 0.500 0.500 0.000
N 0.500 0.500 0.500

Computed properties:
Space group: Pm-3m, No. 221
Total magnetic moment: 0.00 μB/atom
E_form (uncorrected): 385.1 meV per atom

# 12
# MgTi2Te

A relaxed MgTi2Te crystal (PBEsol, Alexandria via LeMat-Bulk).

Unit cell a=6.652 b=6.652 c=6.652 alpha=90.00 beta=90.00 gamma=90.00
Positions (direct):
Mg 0.000 0.000 0.000
Mg 0.000 0.500 0.500
Mg 0.500 0.000 0.500
Mg 0.500 0.500 0.000
Ti 0.250 0.250 0.250
Ti 0.250 0.250 0.750
Ti 0.250 0.750 0.250
Ti 0.250 0.750 0.750
Ti 0.750 0.250 0.250
Ti 0.750 0.250 0.750
Ti 0.750 0.750 0.250
Ti 0.750 0.750 0.750
Te 0.000 0.000 0.500
Te 0.000 0.500 0.000
Te 0.500 0.000 0.000
Te 0.500 0.500 0.500

Computed properties:
Space group: Fm-3m, No. 225
Total magnetic moment: 0.03 μB/atom
E_form (uncorrected): 60.0 meV per atom

# 13
# LiNbN3

A relaxed LiNbN3 crystal (PBEsol, Alexandria via LeMat-Bulk).

Unit cell a=4.085 b=4.085 c=4.085 alpha=90.00 beta=90.00 gamma=90.00
Positions (direct):
Li 0.000 0.000 0.000
Nb 0.500 0.500 0.500
N 0.000 0.500 0.500
N 0.500 0.000 0.500
N 0.500 0.500 0.000

Computed properties:
Space group: Pm-3m, No. 221
Total magnetic moment: 0.44 μB/atom
E_form (uncorrected): 303.3 meV per atom

# 14
# SbIrRh

A relaxed SbIrRh crystal (PBEsol, Alexandria via LeMat-Bulk).

Unit cell a=4.319 b=4.319 c=3.017 alpha=90.00 beta=90.00 gamma=120.00
Positions (direct):
Sb 0.000 0.000 0.000
Ir 0.333 0.667 0.744
Rh 0.667 0.333 0.267

Computed properties:
Space group: P3m1, No. 156
Total magnetic moment: 0.00 μB/atom
E_form (uncorrected): 96.0 meV per atom

# 15
# Al2WAu

A relaxed Al2WAu crystal (PBEsol, Alexandria via LeMat-Bulk).

Unit cell a=9.950 b=2.843 c=4.718 alpha=90.00 beta=112.05 gamma=90.00
Positions (direct):
Al 0.000 0.000 0.000
Al 0.242 0.000 0.592
Al 0.500 0.500 0.000
Al 0.742 0.500 0.592
W 0.246 0.500 0.084
W 0.746 0.000 0.084
Au 0.493 0.000 0.500
Au 0.993 0.500 0.500

Computed properties:
Formation energy from the elements: -0.130 eV/atom
Space group: Cm, No. 8
Total magnetic moment: 0.00 μB/atom

# 16
# Sr4MgSe

A relaxed Sr4MgSe crystal (PBEsol, Alexandria via LeMat-Bulk).

Unit cell a=7.035 b=7.035 c=7.035 alpha=60.00 beta=60.00 gamma=60.00
Positions (direct):
Sr 0.125 0.125 0.125
Sr 0.125 0.125 0.626
Sr 0.125 0.626 0.125
Sr 0.626 0.125 0.125
Mg 0.500 0.500 0.500
Se 0.750 0.750 0.750

Computed properties:
Space group: F-43m, No. 216
Total magnetic moment: 0.00 μB/atom
E_form (uncorrected): 227.3 meV per atom

# 17
# BaSnO3

A relaxed BaSnO3 crystal (PBEsol, Alexandria via LeMat-Bulk).

Unit cell a=4.134 b=4.134 c=4.134 alpha=90.00 beta=90.00 gamma=90.00
Positions (direct):
Ba 0.000 0.000 0.000
Sn 0.500 0.500 0.500
O 0.000 0.500 0.500
O 0.500 0.000 0.500
O 0.500 0.500 0.000

Computed properties:
Space group: Pm-3m, No. 221
Total magnetic moment: 0.00 μB/atom
E_form (uncorrected): -2238.1 meV per atom

# 18
# Hf2SbAs2

A relaxed Hf2SbAs2 crystal (PBEsol, Alexandria via LeMat-Bulk).

Unit cell a=7.594 b=7.594 c=3.435 alpha=90.00 beta=90.00 gamma=90.00
Positions (direct):
Hf 0.153 0.347 0.000
Hf 0.347 0.847 0.000
Hf 0.653 0.153 0.000
Hf 0.847 0.653 0.000
Sb 0.000 0.000 0.000
Sb 0.500 0.500 0.000
As 0.138 0.638 0.500
As 0.362 0.138 0.500
As 0.638 0.862 0.500
As 0.862 0.362 0.500

Computed properties:
Space group: P4/mbm, No. 127
Total magnetic moment: 0.00 μB/atom
E_form (uncorrected): -715.4 meV per atom

# 19
# GaP2RuO

A relaxed GaP2RuO crystal (PBEsol, Alexandria via LeMat-Bulk).

Unit cell a=4.737 b=4.737 c=3.390 alpha=90.00 beta=90.00 gamma=90.00
Positions (direct):
Ga 0.000 0.000 0.000
P 0.000 0.500 0.000
P 0.500 0.000 0.000
Ru 0.500 0.500 0.500
O 0.000 0.000 0.500

Computed properties:
Space group: P4/mmm, No. 123
Total magnetic moment: 0.04 μB/atom
E_form (uncorrected): 721.9 meV per atom

# 20
# BaPPb2

A relaxed BaPPb2 crystal (PBEsol, Alexandria via LeMat-Bulk).

Unit cell a=7.717 b=7.717 c=7.717 alpha=90.00 beta=90.00 gamma=90.00
Positions (direct):
Ba 0.000 0.000 0.000
Ba 0.000 0.500 0.500
Ba 0.500 0.000 0.500
Ba 0.500 0.500 0.000
P 0.250 0.250 0.750
P 0.250 0.750 0.250
P 0.750 0.250 0.250
P 0.750 0.750 0.750
Pb 0.000 0.000 0.500
Pb 0.000 0.500 0.000
Pb 0.250 0.250 0.250
Pb 0.250 0.750 0.750
Pb 0.500 0.000 0.000
Pb 0.500 0.500 0.500
Pb 0.750 0.250 0.750
Pb 0.750 0.750 0.250

Computed properties:
Formation energy from the elements: -0.148 eV/atom
Space group: F-43m, No. 216
Total magnetic moment: 0.00 μB/atom

# 21
# ZrAl2SbI

A relaxed ZrAl2SbI crystal (PBEsol, Alexandria via LeMat-Bulk).

Unit cell a=5.271 b=5.271 c=5.266 alpha=90.00 beta=90.00 gamma=90.00
Positions (direct):
Zr 0.000 0.000 0.000
Al 0.000 0.500 0.500
Al 0.500 0.000 0.500
Sb 0.500 0.500 0.000
I 0.000 0.000 0.500

Computed properties:
Space group: P4/mmm, No. 123
Total magnetic moment: 0.00 μB/atom
E_form (uncorrected): 1071.5 meV per atom

# 22
# NaBiTe2

A relaxed NaBiTe2 crystal (PBEsol, Alexandria via LeMat-Bulk).

Unit cell a=4.434 b=4.434 c=22.602 alpha=90.00 beta=90.00 gamma=120.00
Positions (direct):
Na 0.000 0.000 0.000
Na 0.333 0.667 0.667
Na 0.667 0.333 0.333
Bi 0.000 0.000 0.500
Bi 0.333 0.667 0.167
Bi 0.667 0.333 0.833
Te 0.000 0.000 0.246
Te 0.000 0.000 0.754
Te 0.333 0.667 0.421
Te 0.333 0.667 0.913
Te 0.667 0.333 0.087
Te 0.667 0.333 0.579

Computed properties:
Space group: R-3m, No. 166
Total magnetic moment: 0.00 μB/atom
E_form (uncorrected): -526.0 meV per atom

# 23
# SrH2IrPd

A relaxed SrH2IrPd crystal (PBEsol, Alexandria via LeMat-Bulk).

Unit cell a=3.841 b=3.841 c=5.720 alpha=90.00 beta=90.00 gamma=90.00
Positions (direct):
Sr 0.000 0.000 0.000
H 0.000 0.500 0.000
H 0.500 0.000 0.000
Ir 0.500 0.500 0.500
Pd 0.000 0.000 0.500

Computed properties:
Space group: P4/mmm, No. 123
Total magnetic moment: 0.36 μB/atom
Final energy: -3.70 eV per atom

# 24
# Mg2TlAu2

A relaxed Mg2TlAu2 crystal (PBEsol, Alexandria via LeMat-Bulk).

Unit cell a=3.856 b=3.856 c=14.381 alpha=90.00 beta=90.00 gamma=90.00
Positions (direct):
Mg 0.000 0.000 0.112
Mg 0.000 0.000 0.888
Mg 0.500 0.500 0.388
Mg 0.500 0.500 0.612
Tl 0.000 0.000 0.500
Tl 0.500 0.500 0.000
Au 0.000 0.500 0.250
Au 0.000 0.500 0.750
Au 0.500 0.000 0.250
Au 0.500 0.000 0.750

Computed properties:
Formation energy from the elements: -0.228 eV/atom
Space group: I4/mmm, No. 139
Total magnetic moment: 0.00 μB/atom

# 25
# TiHg2WSe

A relaxed TiHg2WSe crystal (PBEsol, Alexandria via LeMat-Bulk).

Unit cell a=5.217 b=5.217 c=4.622 alpha=90.00 beta=90.00 gamma=90.00
Positions (direct):
Ti 0.000 0.000 0.000
Hg 0.000 0.500 0.500
Hg 0.500 0.000 0.500
W 0.000 0.000 0.500
Se 0.500 0.500 0.000

Computed properties:
Space group: P4/mmm, No. 123
Total magnetic moment: 0.00 μB/atom
E_form (uncorrected): 1082.0 meV per atom

# 26
# CuBi3Te

A relaxed CuBi3Te crystal (PBEsol, Alexandria via LeMat-Bulk).

Unit cell a=5.752 b=5.752 c=5.752 alpha=90.00 beta=90.00 gamma=90.00
Positions (direct):
Cu 0.000 0.000 0.000
Bi 0.000 0.500 0.500
Bi 0.500 0.000 0.500
Bi 0.500 0.500 0.000
Te 0.500 0.500 0.500

Computed properties:
Space group: Pm-3m, No. 221
Total magnetic moment: 0.00 μB/atom
E_form (uncorrected): 1197.3 meV per atom